(1)
Density functional theory data (PBE) for Sm4HoP5 after structural relaxation.

Properties
Uncorrected energy: -66.27 eV/cell
Crystal system: tetragonal

abc: 7.075 7.075 7.075
angles: 99.60 99.60 131.80
Fractional positions:
Sm (0.099, 0.700, 0.799)
Sm (0.300, 0.099, 0.399)
Sm (0.700, 0.901, 0.601)
Sm (0.901, 0.300, 0.201)
Ho (0.500, 0.500, 0.000)
P (0.000, 0.000, 0.000)
P (0.204, 0.401, 0.605)
P (0.401, 0.796, 0.198)
P (0.599, 0.204, 0.802)
P (0.796, 0.599, 0.395)

(2)
Density functional theory data (PBE) for LiAcSm2Se4 after structural relaxation.

Properties
Crystal system: orthorhombic
Raw formation energy: -1.71 eV per atom

abc: 7.281 7.281 14.466
angles: 90.00 90.00 146.66
Fractional positions:
Li (0.146, 0.854, 0.750)
Li (0.854, 0.146, 0.250)
Ac (0.120, 0.880, 0.250)
Ac (0.880, 0.120, 0.750)
Sm (0.367, 0.633, 0.056)
Sm (0.367, 0.633, 0.444)
Sm (0.633, 0.367, 0.556)
Sm (0.633, 0.367, 0.944)
Se (0.000, 0.000, 0.000)
Se (0.000, 0.000, 0.500)
Se (0.272, 0.728, 0.624)
Se (0.272, 0.728, 0.876)
Se (0.453, 0.547, 0.250)
Se (0.547, 0.453, 0.750)
Se (0.728, 0.272, 0.124)
Se (0.728, 0.272, 0.376)